PBE NdScCN2O2, optimized geometry; energy = -60.85 eV/f.u.; M_tot = 0.0 μB/cell
1.0
-2.6977 0.8687 -2.3568
-0.5779 -2.5404 2.6075
-2.5608 5.7772 5.0608
N O Nd Sc C
2 2 1 1 1
direct
0.0000 0.0000 0.1626
0.0000 0.0000 0.8574
0.3333 0.6667 0.5826
0.6667 0.3333 0.3814
0.6667 0.3333 0.6785
0.3333 0.6667 0.3265
0.0000 0.0000 0.0109

PBE TbNdCN2O2, optimized geometry; energy = -60.00 eV/f.u.; M_tot = 0.0 μB/cell
1.0
-0.5751 3.5453 1.2630
-1.5924 -1.1394 -3.2652
-6.6500 -2.5513 4.1334
Nd N O C Tb
1 2 2 1 1
direct
0.6667 0.3333 0.6805
0.0000 0.0000 0.8532
0.0000 0.0000 0.1533
0.3333 0.6667 0.5969
0.6667 0.3333 0.3907
0.0000 0.0000 0.0035
0.3333 0.6667 0.3219

PBE NdYCN2O2, optimized geometry; energy = -61.75 eV/f.u.; M_tot = 0.0 μB/cell
1.0
3.7988 0.0000 0.0000
-1.8994 3.2899 0.0000
0.0000 0.0000 8.2416
C N O Nd Y
1 2 2 1 1
direct
0.0000 0.0000 0.0041
0.0000 0.0000 0.1538
0.0000 0.0000 0.8540
0.3333 0.6667 0.5966
0.6667 0.3333 0.3900
0.6667 0.3333 0.6800
0.3333 0.6667 0.3214

PBE NiC4N6, optimized geometry; energy = -87.91 eV/f.u.; M_tot = 4.0 μB/cell
1.0
5.6860 0.0000 0.0000
0.0000 6.7947 0.0000
0.0000 0.0000 7.3737
N C Ni
12 8 2
direct
0.2880 0.4026 0.3018
0.7120 0.5974 0.3018
0.3271 0.7760 0.5000
0.7880 0.0974 0.8018
0.2120 0.9026 0.8018
0.2880 0.4026 0.6982
0.1729 0.2760 0.0000
0.8271 0.7240 0.0000
0.2120 0.9026 0.1982
0.7880 0.0974 0.1982
0.7120 0.5974 0.6982
0.6729 0.2240 0.5000
0.7588 0.6520 0.1552
0.7412 0.1520 0.6552
0.2412 0.3481 0.8448
0.2588 0.8480 0.3448
0.2588 0.8480 0.6552
0.7412 0.1520 0.3448
0.2412 0.3481 0.1552
0.7588 0.6520 0.8448
0.0000 0.0000 0.0000
0.5000 0.5000 0.5000

PBE Pr2SmNi2C2N3, optimized geometry; energy = -75.92 eV/f.u.; M_tot = 0.1 μB/cell
1.0
-2.1866 -8.9250 4.6346
-5.6370 -8.5633 0.9003
5.4990 7.5328 -4.3513
Ni N Sm C Pr
2 3 1 2 2
direct
0.7500 0.2500 0.5000
0.2500 0.7500 0.5000
0.5000 0.5000 0.0000
0.1223 0.1223 0.0000
0.8777 0.8777 0.0000
0.0000 0.0000 0.0000
0.8081 0.8081 0.0000
0.1919 0.1919 0.0000
0.3719 0.3719 0.0000
0.6281 0.6281 0.0000

PBE PrSmNi2C2N2, optimized geometry; energy = -59.97 eV/f.u.; M_tot = 0.0 μB/cell
1.0
-2.1600 2.6450 1.0521
-0.5341 -1.6738 3.1115
5.8350 3.5970 2.9365
C Ni N Sm Pr
2 2 2 1 1
direct
0.5000 0.5000 0.3429
0.0000 0.0000 0.6546
0.5000 0.0000 0.5021
0.0000 0.5000 0.5021
0.0000 0.0000 0.8409
0.5000 0.5000 0.1559
0.5000 0.5000 0.8248
0.0000 0.0000 0.1767

PBE Sc3NiCN, optimized geometry; energy = -46.92 eV/f.u.; M_tot = 0.1 μB/cell
1.0
-1.8602 2.6622 -0.1261
0.1905 -1.9729 -2.5758
-14.0789 -9.5408 6.2663
N Ni C Sc
2 2 2 6
direct
0.6667 0.3333 0.5728
0.3333 0.6667 0.4272
0.0000 0.0000 0.2562
0.0000 0.0000 0.7438
0.3333 0.6667 0.0792
0.6667 0.3333 0.9208
0.3333 0.6667 0.8575
0.6667 0.3333 0.1425
0.3333 0.6667 0.6395
0.0000 0.0000 0.5000
0.6667 0.3333 0.3605
0.0000 0.0000 0.0000

PBE Sm2Ni2C3N, optimized geometry; energy = -59.54 eV/f.u.; M_tot = 0.0 μB/cell
1.0
-2.4042 0.9235 2.4952
-2.5673 -1.6882 -1.8489
1.4508 -6.2848 3.7239
C Sm N Ni
3 2 1 2
direct
0.5000 0.5000 0.6564
0.0000 0.0000 0.3442
0.5000 0.5000 0.8425
0.5000 0.5000 0.1746
0.0000 0.0000 0.8315
0.0000 0.0000 0.1590
0.5000 0.0000 0.4959
0.0000 0.5000 0.4959

PBE Ta3NiCN, optimized geometry; energy = -61.70 eV/f.u.; M_tot = 0.0 μB/cell
1.0
3.1103 0.0000 0.0000
-1.5552 2.6936 0.0000
0.0000 0.0000 18.0721
Ta N C Ni
6 2 2 2
direct
0.0000 0.0000 0.5000
0.3333 0.6667 0.6403
0.6667 0.3333 0.3597
0.3333 0.6667 0.8595
0.6667 0.3333 0.1405
0.0000 0.0000 0.0000
0.3333 0.6667 0.4285
0.6667 0.3333 0.5715
0.3333 0.6667 0.0737
0.6667 0.3333 0.9263
0.0000 0.0000 0.7494
0.0000 0.0000 0.2506

PBE TbTmNi2C2N2, optimized geometry; energy = -60.55 eV/f.u.; M_tot = 0.0 μB/cell
1.0
3.4413 0.0000 0.0000
0.0000 3.4413 0.0000
0.0000 0.0000 7.2998
C Tm N Tb Ni
2 1 2 1 2
direct
0.5000 0.5000 0.6630
0.0000 0.0000 0.3399
0.5000 0.5000 0.1708
0.0000 0.0000 0.1475
0.5000 0.5000 0.8558
0.0000 0.0000 0.8265
0.0000 0.5000 0.4982
0.5000 0.0000 0.4982

PBE TbYNi2C2N2, optimized geometry; energy = -62.40 eV/f.u.; M_tot = 0.0 μB/cell
1.0
-2.7228 -0.0975 -2.1456
-1.2784 -2.7103 1.7456
-3.6526 4.5744 4.4274
N Ni C Y Tb
2 2 2 1 1
direct
0.0000 0.0000 0.1489
0.5000 0.5000 0.8520
0.0000 0.5000 0.4998
0.5000 0.0000 0.4998
0.0000 0.0000 0.3399
0.5000 0.5000 0.6608
0.5000 0.5000 0.1727
0.0000 0.0000 0.8262

PBE TbY2Ni2C2N3, optimized geometry; energy = -80.66 eV/f.u.; M_tot = 0.1 μB/cell
1.0
-6.6919 -7.5627 0.0087
-8.6315 -4.2499 3.0678
6.4794 6.9504 -3.4185
Ni C Tb N Y
2 2 1 3 2
direct
0.2500 0.7500 0.5000
0.7500 0.2500 0.5000
0.1908 0.1908 0.0000
0.8092 0.8092 0.0000
0.0000 0.0000 0.0000
0.8806 0.8806 0.0000
0.1194 0.1194 0.0000
0.5000 0.5000 0.0000
0.6256 0.6256 0.0000
0.3744 0.3744 0.0000

PBE YTmNi2C2N2, optimized geometry; energy = -62.35 eV/f.u.; M_tot = 0.0 μB/cell
1.0
-2.8427 -0.9945 1.6610
1.6696 -2.7530 1.2092
2.0827 3.8380 5.8622
Ni Tm C Y N
2 1 2 1 2
direct
0.5000 0.0000 0.5016
0.0000 0.5000 0.5016
0.0000 0.0000 0.8284
0.0000 0.0000 0.3372
0.5000 0.5000 0.6607
0.5000 0.5000 0.1731
0.0000 0.0000 0.1445
0.5000 0.5000 0.8529

PBE Ni2WC8N8, optimized geometry; energy = -157.41 eV/f.u.; M_tot = 0.0 μB/cell
1.0
-2.9760 -7.9007 5.1937
-8.7244 3.3855 -3.2673
6.4989 -2.0798 -7.1896
N C W Ni
16 16 2 4
direct
0.1274 0.0028 0.3313
0.1716 0.5028 0.8755
0.5028 0.6274 0.3313
0.0028 0.6716 0.8755
0.4972 0.3726 0.6687
0.3284 0.2039 0.3313
0.2961 0.1716 0.6687
0.6274 0.2961 0.1245
0.3726 0.7039 0.8755
0.9972 0.3284 0.1245
0.8284 0.4972 0.1245
0.7039 0.8284 0.3313
0.6716 0.7961 0.6687
0.8726 0.9972 0.6687
0.7961 0.1274 0.1245
0.2039 0.8726 0.8755
0.1952 0.4094 0.9148
0.2196 0.0054 0.9148
0.2804 0.1952 0.7858
0.7804 0.9946 0.0852
0.3048 0.2196 0.2142
0.5054 0.7196 0.9148
0.9946 0.9094 0.2142
0.9094 0.6952 0.9148
0.6952 0.7804 0.7858
0.0906 0.3048 0.0852
0.8048 0.5906 0.0852
0.5906 0.5054 0.7858
0.7196 0.8048 0.2142
0.4946 0.2804 0.0852
0.4094 0.4946 0.2142
0.0054 0.0906 0.7858
0.7500 0.7500 0.0000
0.2500 0.2500 0.0000
0.6816 0.8184 0.5000
0.8184 0.3184 0.1367
0.1816 0.6816 0.8633
0.3184 0.1816 0.5000

PBE NiW3CN, optimized geometry; energy = -60.57 eV/f.u.; M_tot = 0.1 μB/cell
1.0
-2.5644 -0.9326 -0.8898
1.1267 -1.0090 2.4393
-8.8045 14.5763 10.0964
W Ni N C
6 2 2 2
direct
0.6667 0.3333 0.1392
0.0000 0.0000 0.0000
0.3333 0.6667 0.8608
0.0000 0.0000 0.5000
0.3333 0.6667 0.6475
0.6667 0.3333 0.3525
0.0000 0.0000 0.2466
0.0000 0.0000 0.7534
0.3333 0.6667 0.4248
0.6667 0.3333 0.5752
0.3333 0.6667 0.0719
0.6667 0.3333 0.9281

PBE Y3NiCN, optimized geometry; energy = -46.24 eV/f.u.; M_tot = 0.3 μB/cell
1.0
3.5467 0.0000 0.0000
-1.7733 3.0715 0.0000
0.0000 0.0000 19.1455
Y Ni N C
6 2 2 2
direct
0.3333 0.6667 0.8522
0.0000 0.0000 0.5000
0.0000 0.0000 0.0000
0.6667 0.3333 0.1478
0.6667 0.3333 0.3553
0.3333 0.6667 0.6447
0.0000 0.0000 0.7444
0.0000 0.0000 0.2556
0.6667 0.3333 0.5744
0.3333 0.6667 0.4256
0.3333 0.6667 0.0813
0.6667 0.3333 0.9187

PBE Y2Ni2C3N, optimized geometry; energy = -63.57 eV/f.u.; M_tot = 0.0 μB/cell
1.0
-0.8493 -2.1355 2.6510
-1.4508 -2.2446 -2.2729
6.4936 -3.4718 -0.7165
C Ni Y N
3 2 2 1
direct
0.5000 0.5000 0.8482
0.5000 0.5000 0.6601
0.0000 0.0000 0.3416
0.0000 0.5000 0.4955
0.5000 0.0000 0.4955
0.0000 0.0000 0.8337
0.5000 0.5000 0.1711
0.0000 0.0000 0.1542

PBE Zr8Ni2C3N3, optimized geometry; energy = -147.65 eV/f.u.; M_tot = 0.0 μB/cell
1.0
3.3031 0.0000 0.0000
-1.6516 2.8606 0.0000
0.0000 0.0000 23.6067
N C Zr Ni
3 3 8 2
direct
0.0000 0.0000 0.5000
0.6667 0.3333 0.3882
0.3333 0.6667 0.6118
0.0000 0.0000 0.0000
0.3333 0.6667 0.8823
0.6667 0.3333 0.1177
0.6667 0.3333 0.9436
0.6667 0.3333 0.5569
0.3333 0.6667 0.0564
0.3333 0.6667 0.4431
0.0000 0.0000 0.1703
0.0000 0.0000 0.6680
0.0000 0.0000 0.3320
0.0000 0.0000 0.8297
0.3333 0.6667 0.2527
0.6667 0.3333 0.7472

PBE PrScCN2O2, optimized geometry; energy = -60.69 eV/f.u.; M_tot = 0.0 μB/cell
1.0
-1.8812 -3.1361 -0.6142
0.5365 1.1909 3.4707
-6.9173 4.2237 -0.3800
O N Pr Sc C
2 2 1 1 1
direct
0.6667 0.3333 0.3803
0.3333 0.6667 0.5811
0.0000 0.0000 0.1631
0.0000 0.0000 0.8584
0.6667 0.3333 0.6791
0.3333 0.6667 0.3262
0.0000 0.0000 0.0118

PBE Pr2SiCN2O4, optimized geometry; energy = -83.78 eV/f.u.; M_tot = 0.0 μB/cell
1.0
-0.1389 5.7572 2.9253
-4.4096 -0.5634 5.0136
4.6942 -0.0813 4.8362
Si N O Pr C
2 4 8 4 2
direct
0.9581 0.2955 0.8150
0.0419 0.7045 0.1850
0.6410 0.2986 0.3754
0.4783 0.0689 0.2353
0.3590 0.7014 0.6246
0.5217 0.9311 0.7647
0.8861 0.1312 0.6971
0.2766 0.5171 0.1126
0.1404 0.3878 0.6267
0.8596 0.6122 0.3733
0.0928 0.2206 0.9845
0.7234 0.4829 0.8874
0.1139 0.8688 0.3029
0.9072 0.7794 0.0155
0.4567 0.3184 0.7861
0.9362 0.7616 0.6674
0.0638 0.2384 0.3326
0.5433 0.6816 0.2139
0.4361 0.8202 0.6959
0.5639 0.1798 0.3041

PBE PrTmCN2O2, optimized geometry; energy = -59.77 eV/f.u.; M_tot = 0.0 μB/cell
1.0
-0.0806 -3.0403 -2.2457
-0.4686 -0.3927 3.7308
-8.1218 0.8988 -0.9254
Pr O Tm N C
1 2 1 2 1
direct
0.6667 0.3333 0.6796
0.6667 0.3333 0.3857
0.3333 0.6667 0.5904
0.3333 0.6667 0.3220
0.0000 0.0000 0.8570
0.0000 0.0000 0.1575
0.0000 0.0000 0.0077